Density functional theory data (GGA-PBE) for crystalline ThMgInPt at its relaxed geometry.

The structure belongs to space group F-43m (No. 216); the cell edges are 7.173, 7.173 and 7.173 Å and the angles 90.00°, 90.00° and 90.00°. The asymmetric unit holds Th at (0.000, 0.000, 0.000), Mg at (0.000, 0.000, 0.500), In at (0.250, 0.250, 0.750) and Pt at (0.250, 0.250, 0.250).

Its total magnetization is 0.0 μB per formula unit. As for the volume: 23.07 Å³ per atom. As for the formation energy: -0.56 eV per atom. The value obtained for the calculated total energy is -5.004 eV/atom. Its density of states at the Fermi level is 0.771 states/eV/atom.

Density functional theory data (GGA-PBE) for crystalline LiMgPa2O6 at its relaxed geometry.

The structure belongs to space group R3 (No. 146, hexagonal axes); the cell edges are 5.5734, 5.5734 and 15.4546 Å and the angles 90.00°, 90.00° and 120.00°. The asymmetric unit holds Li at (0.0000, 0.0000, 0.0000), Mg at (0.0000, 0.0000, 0.5502), Pa at (0.0000, 0.0000, 0.2486), Pa at (0.0000, 0.0000, 0.7530), O at (0.0029, 0.3256, 0.1632) and O at (0.0407, 0.6726, 0.3191).

Its total magnetization is 1.0 μB per formula unit. As for the volume: 13.86 Å³ per atom. For the formation energy (no corrections), the calculation gives -3117 meV per atom. The value obtained for the calculated total energy is -8.342 eV/atom. Its density of states at the Fermi level is 0.636 states/eV/atom.

Density functional theory data (GGA-PBE) for crystalline ErRuC2 at its relaxed geometry.

The structure belongs to space group R-3m (No. 166, hexagonal axes); the cell edges are 3.2736, 3.2736 and 15.6006 Å and the angles 90.00°, 90.00° and 120.00°. The asymmetric unit holds Er at (0.0000, 0.0000, 0.0000), Ru at (0.0000, 0.0000, 0.5000) and C at (0.0000, 0.0000, 0.2357).

Its total magnetization is 0.0 μB per formula unit. As for the volume: 12.07 Å³ per atom. The energy above the lowest structure with this stoichiometry comes out at 390 meV/atom. As for the formation energy: 0.18 eV per atom. The value obtained for the calculated total energy is -7.892 eV/atom. Its density of states at the Fermi level is 0.297 states/eV/atom.

Density functional theory data (GGA-PBE) for crystalline Li2ZnSb at its relaxed geometry.

The structure belongs to space group P4/mmm (No. 123); the cell edges are 4.097, 4.097 and 4.264 Å and the angles 90.00°, 90.00° and 90.00°. The asymmetric unit holds Li at (0.000, 0.500, 0.000), Zn at (0.000, 0.000, 0.500) and Sb at (0.500, 0.500, 0.500).

Its total magnetization is 0.0 μB per formula unit. As for the volume: 17.89 Å³ per atom. For the formation energy (no corrections), the calculation gives -348 meV per atom. The value obtained for the calculated total energy is -2.654 eV/atom. Its density of states at the Fermi level is 0.459 states/eV/atom.

Density functional theory data (GGA-PBE) for crystalline LaErMnHg at its relaxed geometry.

The structure belongs to space group F-43m (No. 216); the cell edges are 7.448, 7.448 and 7.448 Å and the angles 90.00°, 90.00° and 90.00°. The asymmetric unit holds La at (0.000, 0.000, 0.000), Er at (0.000, 0.000, 0.500), Mn at (0.250, 0.250, 0.750) and Hg at (0.250, 0.250, 0.250).

Its total magnetization is 3.1 μB per formula unit. As for the volume: 25.83 Å³ per atom. As for the formation energy: -0.06 eV per atom. The value obtained for the calculated total energy is -4.797 eV/atom. Its density of states at the Fermi level is 1.439 states/eV/atom.

Density functional theory data (GGA-PBE) for crystalline CePmYTh at its relaxed geometry.

The structure belongs to space group R3m (No. 160, hexagonal axes); the cell edges are 3.5700, 3.5700 and 34.6364 Å and the angles 90.00°, 90.00° and 120.00°. The asymmetric unit holds Ce at (0.0000, 0.0000, 0.0000), Pm at (0.0000, 0.0000, 0.1696), Y at (0.0000, 0.0000, 0.4159) and Th at (0.0000, 0.0000, 0.5869).

Its total magnetization is 0.2 μB per formula unit. As for the volume: 31.86 Å³ per atom. The energy above the lowest structure with this stoichiometry comes out at 0 meV/atom. As for the formation energy: 0.04 eV per atom. The value obtained for the calculated total energy is -6.103 eV/atom. Its density of states at the Fermi level is 2.012 states/eV/atom.

Density functional theory data (GGA-PBE) for crystalline Ac3PrPt3 at its relaxed geometry.

The structure belongs to space group Pnma (No. 62); the cell edges are 12.836, 4.339 and 15.569 Å and the angles 90.00°, 90.00° and 90.00°. The asymmetric unit holds Ac at (0.061, 0.250, 0.096), Ac at (0.160, 0.750, 0.516), Ac at (0.241, 0.750, 0.800), Pr at (0.024, 0.250, 0.702), Pt at (0.060, 0.250, 0.401), Pt at (0.109, 0.250, 0.897) and Pt at (0.246, 0.750, 0.151).

Its total magnetization is 0.0 μB per formula unit. As for the volume: 30.97 Å³ per atom. As for the formation energy: -1.00 eV per atom. The value obtained for the calculated total energy is -6.035 eV/atom. Its density of states at the Fermi level is 0.623 states/eV/atom.

Density functional theory data (GGA-PBE) for crystalline LaAlNi at its relaxed geometry.

The structure belongs to space group F-43m (No. 216); the cell edges are 6.793, 6.793 and 6.793 Å and the angles 90.00°, 90.00° and 90.00°. The asymmetric unit holds La at (0.000, 0.000, 0.000), Al at (0.250, 0.250, 0.250) and Ni at (0.250, 0.250, 0.750).

Its total magnetization is 0.0 μB per formula unit. As for the volume: 26.12 Å³ per atom. As for the formation energy: 0.49 eV per atom. The value obtained for the calculated total energy is -4.324 eV/atom. Its density of states at the Fermi level is 1.269 states/eV/atom.

Density functional theory data (GGA-PBE) for crystalline NbGeAsSe2 at its relaxed geometry.

The structure belongs to space group P4/mmm (No. 123); the cell edges are 4.983, 4.983 and 5.165 Å and the angles 90.00°, 90.00° and 90.00°. The asymmetric unit holds Nb at (0.000, 0.000, 0.000), Ge at (0.500, 0.500, 0.500), As at (0.000, 0.000, 0.500) and Se at (0.000, 0.500, 0.000).

Its total magnetization is 0.0 μB per formula unit. As for the volume: 25.65 Å³ per atom. The energy above the lowest structure with this stoichiometry comes out at 0 meV/atom. For the formation energy (no corrections), the calculation gives 216 meV per atom. The value obtained for the calculated total energy is -5.045 eV/atom. Its density of states at the Fermi level is 0.844 states/eV/atom.

Density functional theory data (GGA-PBE) for crystalline Tb4Pr3In2 at its relaxed geometry.

The structure belongs to space group C2/c (No. 15); the cell edges are 13.127, 13.607 and 6.549 Å and the angles 90.00°, 95.56° and 90.00°. The asymmetric unit holds Tb at (0.108, 0.215, 0.083), Tb at (0.153, 0.327, 0.588), Pr at (0.000, 0.468, 0.250), Pr at (0.112, 0.068, 0.593) and In at (0.206, 0.426, 0.039).

Its total magnetization is 0.0 μB per formula unit. As for the volume: 32.34 Å³ per atom. As for the formation energy: -0.12 eV per atom. The value obtained for the calculated total energy is -4.377 eV/atom. Its density of states at the Fermi level is 1.284 states/eV/atom.

Density functional theory data (GGA-PBE) for crystalline UInRuPt at its relaxed geometry.

The structure belongs to space group F-43m (No. 216); the cell edges are 6.738, 6.738 and 6.738 Å and the angles 90.00°, 90.00° and 90.00°. The asymmetric unit holds U at (0.000, 0.000, 0.000), In at (0.000, 0.000, 0.500), Ru at (0.250, 0.250, 0.250) and Pt at (0.250, 0.250, 0.750).

Its total magnetization is 1.6 μB per formula unit. As for the volume: 19.12 Å³ per atom. As for the formation energy: -0.30 eV per atom. The value obtained for the calculated total energy is -7.640 eV/atom. Its density of states at the Fermi level is 1.512 states/eV/atom.

Density functional theory data (GGA-PBE) for crystalline SmSnPd at its relaxed geometry.

The structure belongs to space group I4mm (No. 107); the cell edges are 3.926, 3.926 and 9.397 Å and the angles 90.00°, 90.00° and 90.00°. The asymmetric unit holds Sm at (0.000, 0.000, 0.000), Sn at (0.000, 0.000, 0.678) and Pd at (0.000, 0.000, 0.357).

Its total magnetization is 0.0 μB per formula unit. As for the volume: 24.14 Å³ per atom. As for the formation energy: -0.53 eV per atom. The value obtained for the calculated total energy is -5.170 eV/atom. Its density of states at the Fermi level is 0.909 states/eV/atom.

Density functional theory data (GGA-PBE) for crystalline BaRu2Pt at its relaxed geometry.

The structure belongs to space group P4/mmm (No. 123); the cell edges are 3.262, 3.262 and 7.626 Å and the angles 90.00°, 90.00° and 90.00°. The asymmetric unit holds Ba at (0.000, 0.000, 0.000), Ru at (0.500, 0.500, 0.324) and Pt at (0.000, 0.000, 0.500).

Its total magnetization is 0.0 μB per formula unit. As for the volume: 20.29 Å³ per atom. The energy above the lowest structure with this stoichiometry comes out at 522 meV/atom. As for the formation energy: 0.63 eV per atom. The value obtained for the calculated total energy is -6.000 eV/atom. Its density of states at the Fermi level is 1.502 states/eV/atom.

Density functional theory data (GGA-PBE) for crystalline CsRb2GaCl4 at its relaxed geometry.

The structure belongs to space group Cmcm (No. 63); the cell edges are 4.952, 15.914 and 15.851 Å and the angles 90.00°, 90.00° and 90.00°. The asymmetric unit holds Cs at (0.000, 0.116, 0.250), Rb at (0.000, 0.374, 0.050), Ga at (0.000, 0.144, 0.750), Cl at (0.000, 0.000, 0.000), Cl at (0.000, 0.262, 0.626) and Cl at (0.000, 0.456, 0.250).

Its total magnetization is 0.0 μB per formula unit. As for the volume: 39.03 Å³ per atom. For the formation energy (no corrections), the calculation gives -1607 meV per atom. The value obtained for the calculated total energy is -3.257 eV/atom. Its density of states at the Fermi level is 0.000 states/eV/atom.

Density functional theory data (GGA-PBE) for crystalline Pm5ScGa6 at its relaxed geometry.

The structure belongs to space group Immm (No. 71); the cell edges are 5.139, 7.170 and 15.405 Å and the angles 90.00°, 90.00° and 90.00°. The asymmetric unit holds Pm at (0.000, 0.000, 0.000), Pm at (0.000, 0.000, 0.323), Pm at (0.000, 0.500, 0.339), Sc at (0.000, 0.500, 0.000), Ga at (0.000, 0.220, 0.500) and Ga at (0.000, 0.266, 0.159).

Its total magnetization is 0.0 μB per formula unit. As for the volume: 23.65 Å³ per atom. As for the formation energy: -0.56 eV per atom. The value obtained for the calculated total energy is -4.582 eV/atom. Its density of states at the Fermi level is 0.447 states/eV/atom.

Density functional theory data (GGA-PBE) for crystalline SmHo2Ga at its relaxed geometry.

The structure belongs to space group R-3m (No. 166, hexagonal axes); the cell edges are 3.4980, 3.4980 and 34.9824 Å and the angles 90.00°, 90.00° and 120.00°. The asymmetric unit holds Sm at (0.0000, 0.0000, 0.0000), Ho at (0.0000, 0.0000, 0.4150) and Ga at (0.0000, 0.0000, 0.5000).

Its total magnetization is 0.0 μB per formula unit. As for the volume: 30.89 Å³ per atom. The energy above the lowest structure with this stoichiometry comes out at 435 meV/atom. As for the formation energy: 0.15 eV per atom. The value obtained for the calculated total energy is -4.076 eV/atom. Its density of states at the Fermi level is 1.131 states/eV/atom.

Density functional theory data (GGA-PBE) for crystalline TcMoIN2 at its relaxed geometry.

The structure belongs to space group P4/mmm (No. 123); the cell edges are 3.953, 3.953 and 5.782 Å and the angles 90.00°, 90.00° and 90.00°. The asymmetric unit holds Tc at (0.000, 0.000, 0.000), Mo at (0.500, 0.500, 0.500), I at (0.500, 0.500, 0.000) and N at (0.000, 0.500, 0.500).

Its total magnetization is 3.4 μB per formula unit. As for the volume: 18.07 Å³ per atom. The energy above the lowest structure with this stoichiometry comes out at 0 meV/atom. For the formation energy (no corrections), the calculation gives 1188 meV per atom. The value obtained for the calculated total energy is -6.691 eV/atom. Its density of states at the Fermi level is 0.728 states/eV/atom.

Density functional theory data (GGA-PBE) for crystalline CdSn3Au2 at its relaxed geometry.

The structure belongs to space group C2/m (No. 12); the cell edges are 16.602, 4.272 and 9.305 Å and the angles 90.00°, 115.41° and 90.00°. The asymmetric unit holds Cd at (0.111, 0.000, 0.098), Sn at (0.015, 0.000, 0.674), Sn at (0.164, 0.500, 0.398), Sn at (0.194, 0.500, 0.838), Au at (0.022, 0.500, 0.869) and Au at (0.167, 0.000, 0.611).

Its total magnetization is 0.0 μB per formula unit. As for the volume: 24.84 Å³ per atom. As for the formation energy: -0.10 eV per atom. The value obtained for the calculated total energy is -3.343 eV/atom. Its density of states at the Fermi level is 0.364 states/eV/atom.

Density functional theory data (GGA-PBE) for crystalline KLaCr2 at its relaxed geometry.

The structure belongs to space group Imm2 (No. 44); the cell edges are 3.549, 5.223 and 13.470 Å and the angles 90.00°, 90.00° and 90.00°. The asymmetric unit holds K at (0.000, 0.000, 0.000), La at (0.000, 0.500, 0.778), Cr at (0.000, 0.000, 0.635) and Cr at (0.000, 0.500, 0.251).

Its total magnetization is 0.7 μB per formula unit. As for the volume: 31.21 Å³ per atom. The energy above the lowest structure with this stoichiometry comes out at 199 meV/atom. As for the formation energy: 0.81 eV per atom. The value obtained for the calculated total energy is -5.509 eV/atom. Its density of states at the Fermi level is 1.046 states/eV/atom.

Density functional theory data (GGA-PBE) for crystalline CrHgRh2 at its relaxed geometry.

The structure belongs to space group I4/mmm (No. 139); the cell edges are 4.060, 4.060 and 7.550 Å and the angles 90.00°, 90.00° and 90.00°. The asymmetric unit holds Cr at (0.000, 0.000, 0.000), Hg at (0.000, 0.000, 0.500) and Rh at (0.000, 0.500, 0.250).

Its total magnetization is 2.4 μB per formula unit. As for the volume: 15.56 Å³ per atom. As for the formation energy: 0.14 eV per atom. The value obtained for the calculated total energy is -6.018 eV/atom. Its density of states at the Fermi level is 0.889 states/eV/atom.